1.
Compound: RbTlI2
Source: Alexandria via LeMat-Bulk
Functional: PBE
Structure: relaxed

Unit cell a=8.7395 b=8.7395 c=8.7395 alpha=90.00 beta=90.00 gamma=90.00
Space group Fm-3m (No. 225)
Asymmetric unit:
1 Rb 0.0000 0.0000 0.0000 x4
2 Tl 0.0000 0.0000 0.5000 x4
3 I 0.2500 0.2500 0.2500 x8

Output
DFT total energy = -2.6369 eV/atom
Raw formation energy = -4.11 eV/f.u.
Energy relative to the lowest polymorph listed for this composition = 4.6 kJ/mol of atoms

***

2.
Compound: Pr12Si5Pb
Source: Alexandria via LeMat-Bulk
Functional: PBE
Structure: relaxed

Unit cell a=9.8319 b=10.0618 c=10.7642 alpha=90.00 beta=90.00 gamma=90.00
Space group Immm (No. 71)
Asymmetric unit:
1 Pr 0.0000 0.1991 0.2273 x8
2 Pr 0.2044 0.5000 0.1811 x8
3 Pr 0.2284 0.3172 0.5000 x8
4 Si 0.0000 0.0000 0.0000 x2
5 Si 0.0000 0.3791 0.0000 x4
6 Si 0.0000 0.5000 0.3890 x4
7 Pb 0.0000 0.0000 0.5000 x2

Output
DFT total energy = -5.3992 eV/atom
Raw formation energy = -9.01 eV/f.u.

***

3.
Compound: Pm3TeH
Source: Alexandria via LeMat-Bulk
Functional: PBE
Structure: relaxed

Unit cell a=4.9038 b=4.9038 c=4.9038 alpha=90.00 beta=90.00 gamma=90.00
Space group Pm-3m (No. 221)
Asymmetric unit:
1 Pm 0.0000 0.0000 0.5000 x3
2 Te 0.5000 0.5000 0.5000 x1
3 H 0.0000 0.0000 0.0000 x1

Output
DFT total energy = -4.7301 eV/atom

***

4.
Compound: CaTa2Cr
Source: Alexandria via LeMat-Bulk
Functional: PBE
Structure: relaxed

Unit cell a=4.0307 b=4.0307 c=4.9004 alpha=90.00 beta=90.00 gamma=90.00
Space group P4/mmm (No. 123)
Asymmetric unit:
1 Ca 0.0000 0.0000 0.0000 x1
2 Ta 0.0000 0.5000 0.5000 x2
3 Cr 0.5000 0.5000 0.0000 x1

Output
DFT total energy = -8.0273 eV/atom
ΔE_f = 0.805 eV per atom
Energy relative to the lowest polymorph listed for this composition = 32.0 kJ/mol of atoms

***

5.
Compound: TbErCo
Source: Alexandria via LeMat-Bulk
Functional: PBE
Structure: relaxed

Unit cell a=3.8574 b=3.8574 c=6.1483 alpha=90.00 beta=90.00 gamma=120.00
Space group P3m1 (No. 156)
Asymmetric unit:
1 Tb 0.0000 0.0000 0.0000 x1
2 Er 0.3333 0.6667 0.4651 x1
3 Co 0.6667 0.3333 0.2350 x1

Output
DFT total energy = -5.4907 eV/atom
ΔE_f = -0.058 eV per atom
Energy relative to the lowest polymorph listed for this composition = 8.4 kJ/mol of atoms

***

6.
Compound: Ce2Ga2SnRu5
Source: Alexandria via LeMat-Bulk
Functional: PBE
Structure: relaxed

Unit cell a=9.9838 b=9.9838 c=3.5324 alpha=90.00 beta=90.00 gamma=90.00
Space group P4/mbm (No. 127)
Asymmetric unit:
1 Ce 0.1732 0.3268 0.0000 x4
2 Ga 0.1244 0.6244 0.0000 x4
3 Sn 0.0000 0.0000 0.0000 x2
4 Ru 0.0000 0.5000 0.5000 x2
5 Ru 0.0769 0.7948 0.5000 x8

Output
DFT total energy = -7.1932 eV/atom
ΔE_f = -0.363 eV per atom